{
  "formula": "PuInSbTe",
  "functional": "GGA-PBE",
  "state": "optimized geometry",
  "vol_a3_per_atom": 28.02,
  "sg": "F-43m, No. 216",
  "raw_formation_energy_kj_per_mol_atoms": -32.06,
  "cell": [[5.412, 0.000, 0.000], [2.706, 4.687, 0.000], [2.706, 1.562, 4.419]],
  "species": ["Sb", "Te", "In", "Pu"],
  "fractional_positions": [[0.750, 0.750, 0.750], [0.250, 0.250, 0.250], [0.500, 0.500, 0.500], [0.000, 0.000, 0.000]]
}